Here is InRe2PdAu after structural relaxation from the Alexandria database. Energies are from PBE.

Lattice parameters (Å, degrees): 4.806 4.880 4.806 90.00 90.00 90.00
Atoms (fractional coordinates):
Pd: 0.000 0.000 0.000
In: 0.000 0.500 0.000
Re: 0.000 0.000 0.500
Re: 0.500 0.000 0.000
Au: 0.500 0.500 0.500

Output
magnetic moment: 3.561 Bohr magnetons per cell
volume: 112.7 Å³/f.u.
formation enthalpy at 0 K: 1.947 eV/atom

=====

Here is In2SbPd5Au after structural relaxation from the Alexandria database. Energies are from PBE.

Lattice parameters (Å, degrees): 7.891 7.891 7.899 119.97 119.97 90.00
Atoms (fractional coordinates):
Pd: 0.331 0.831 0.265
Pd: 0.435 0.331 0.265
Pd: 0.831 0.935 0.265
Pd: 0.669 0.169 0.735
Pd: 0.000 0.000 0.000
Pd: 0.565 0.669 0.735
Pd: 0.065 0.565 0.735
Pd: 0.935 0.435 0.265
Pd: 0.500 0.500 0.000
Pd: 0.169 0.065 0.735
Au: 0.250 0.750 0.500
Au: 0.750 0.250 0.500
In: 0.881 0.619 0.000
In: 0.381 0.881 0.000
In: 0.119 0.381 0.000
In: 0.619 0.119 0.000
Sb: 0.250 0.250 0.500
Sb: 0.750 0.750 0.500

Output
magnetic moment: 0.000 Bohr magnetons per cell
volume: 174.1 Å³/f.u.
uncorrected energy: -79.6 eV for the cell shown

=====

Here is Sc4InPd2Au after structural relaxation from the Alexandria database. Energies are from PBE.

Lattice parameters (Å, degrees): 4.803 4.803 8.345 73.28 73.28 60.00
Atoms (fractional coordinates):
Sc: 0.871 0.871 0.386
Sc: 0.380 0.380 0.861
Sc: 0.129 0.129 0.614
Sc: 0.620 0.620 0.139
Pd: 0.742 0.742 0.774
Pd: 0.258 0.258 0.226
In: 0.000 0.000 0.000
Au: 0.500 0.500 0.500

Output
magnetic moment: 0.000 Bohr magnetons per cell
volume: 157.2 Å³/f.u.
formation enthalpy at 0 K: -0.743 eV/atom

=====

Here is Sr2InPd2Au5 after structural relaxation from the Alexandria database. Energies are from PBE.

Lattice parameters (Å, degrees): 4.087 10.299 10.299 90.00 90.00 90.00
Atoms (fractional coordinates):
Pd: 0.000 0.126 0.626
Pd: 0.000 0.626 0.874
Pd: 0.000 0.874 0.374
Pd: 0.000 0.374 0.126
In: 0.000 0.500 0.500
In: 0.000 0.000 0.000
Sr: 0.000 0.174 0.326
Sr: 0.000 0.674 0.174
Sr: 0.000 0.826 0.674
Sr: 0.000 0.326 0.826
Au: 0.500 0.058 0.798
Au: 0.500 0.442 0.298
Au: 0.500 0.942 0.202
Au: 0.500 0.202 0.058
Au: 0.500 0.500 0.000
Au: 0.500 0.702 0.442
Au: 0.500 0.798 0.942
Au: 0.500 0.558 0.702
Au: 0.500 0.298 0.558
Au: 0.500 0.000 0.500

Output
magnetic moment: 0.000 Bohr magnetons per cell
volume: 216.8 Å³/f.u.
formation enthalpy at 0 K: -0.523 eV/atom

=====

Here is Sr2InPd5Au2 after structural relaxation from the Alexandria database. Energies are from PBE.

Lattice parameters (Å, degrees): 4.069 10.074 10.074 90.00 90.00 90.00
Atoms (fractional coordinates):
Pd: 0.500 0.305 0.560
Pd: 0.500 0.195 0.060
Pd: 0.500 0.940 0.195
Pd: 0.500 0.560 0.695
Pd: 0.500 0.000 0.500
Pd: 0.500 0.060 0.805
Pd: 0.500 0.805 0.940
Pd: 0.500 0.695 0.440
Pd: 0.500 0.440 0.305
Pd: 0.500 0.500 0.000
Au: 0.000 0.873 0.373
Au: 0.000 0.127 0.627
Au: 0.000 0.627 0.873
Au: 0.000 0.373 0.127
Sr: 0.000 0.172 0.328
Sr: 0.000 0.828 0.672
Sr: 0.000 0.672 0.172
Sr: 0.000 0.328 0.828
In: 0.000 0.500 0.500
In: 0.000 0.000 0.000

Output
magnetic moment: 0.000 Bohr magnetons per cell
volume: 206.5 Å³/f.u.
formation enthalpy at 0 K: -0.527 eV/atom

=====

Here is TbInPdAu after structural relaxation from the Alexandria database. Energies are from PBE.

Lattice parameters (Å, degrees): 4.892 4.892 4.892 60.00 60.00 60.00
Atoms (fractional coordinates):
Au: 0.500 0.500 0.500
Pd: 0.000 0.000 0.000
In: 0.250 0.250 0.250
Tb: 0.750 0.750 0.750

Output
magnetic moment: 0.000 Bohr magnetons per cell
volume: 82.8 Å³/f.u.
formation enthalpy at 0 K: -0.739 eV/atom

=====

Here is In2Te2Pd7Au after structural relaxation from the Alexandria database. Energies are from PBE.

Lattice parameters (Å, degrees): 3.934 3.934 15.611 86.09 86.09 90.13
Atoms (fractional coordinates):
Pd: 0.036 0.536 0.866
Pd: 0.500 0.500 0.000
Pd: 0.964 0.464 0.134
Pd: 0.660 0.660 0.571
Pd: 0.340 0.340 0.429
Pd: 0.464 0.964 0.134
Pd: 0.536 0.036 0.866
In: 0.569 0.569 0.744
In: 0.431 0.431 0.256
Te: 0.848 0.848 0.400
Te: 0.152 0.152 0.600
Au: 0.000 0.000 0.000

Output
magnetic moment: 0.000 Bohr magnetons per cell
volume: 240.5 Å³/f.u.
uncorrected energy: -53.9 eV for the cell shown

=====

Here is InTe2PdAu after structural relaxation from the Alexandria database. Energies are from PBE.

Lattice parameters (Å, degrees): 5.404 5.218 5.404 90.00 90.00 90.00
Atoms (fractional coordinates):
In: 0.500 0.500 0.500
Au: 0.000 0.000 0.000
Te: 0.000 0.000 0.500
Te: 0.500 0.000 0.000
Pd: 0.000 0.500 0.000

Output
magnetic moment: 0.000 Bohr magnetons per cell
volume: 152.4 Å³/f.u.
uncorrected energy: -15.6 eV for the cell shown